Entry from Alexandria: a relaxed MgTc2NiO8 crystal (PBE with a Hubbard U).

Cell lengths 5.9086, 5.9086, 5.9086 Å; angles 111.50, 111.50, 105.49 degrees
Each line ends with the local moment (μB).
Positions (direct):
Tc1 0.7500 0.2500 0.5000  0.12
Tc2 0.5000 0.5000 0.0000  0.54
Mg1 0.2500 0.7500 0.5000  0.00
O1 0.8163 0.1030 0.7133  0.01
O2 0.8613 0.6426 0.2187  0.04
O3 0.8970 0.6104 0.7133  0.01
O4 0.4238 0.6426 0.7813  0.04
O5 0.3574 0.1387 0.7813  0.04
O6 0.8970 0.1837 0.2867  0.01
O7 0.3574 0.5762 0.2187  0.04
O8 0.3896 0.1030 0.2867  0.01
Ni1 0.0000 0.0000 0.0000  1.05

Computed properties:
Density = 4.27 Mg/m³
Fermi-level density of states = 4.9 states/eV per cell
Magnetization = 2.04 μB per cell
Uncorrected energy = -6.737 eV per atom
Symmetry = No. 119